[1]
The following is a PBE calculation of a relaxed structure of NaSm3Se4, from the Alexandria database.

## Properties
The value obtained for the relative energy among the computed polymorphs is 11 meV/atom. As for the formation energy from raw total energies: -1.76 eV/atom. For the total DFT energy (no corrections), the calculation gives -87.02 eV/cell.

a b c (Å): 8.418 11.828 4.162
angles (deg): 90.00 90.00 90.00
Sites, in units of the cell vectors:
Na (0.000, 0.000, 0.000)
Na (0.500, 0.500, 0.000)
Sm (0.000, 0.500, 0.000)
Sm (0.250, 0.250, 0.500)
Sm (0.250, 0.750, 0.500)
Sm (0.500, 0.000, 0.000)
Sm (0.750, 0.250, 0.500)
Sm (0.750, 0.750, 0.500)
Se (0.000, 0.249, 0.000)
Se (0.000, 0.751, 0.000)
Se (0.249, 0.500, 0.500)
Se (0.251, 0.000, 0.500)
Se (0.500, 0.251, 0.000)
Se (0.500, 0.749, 0.000)
Se (0.749, 0.000, 0.500)
Se (0.751, 0.500, 0.500)

[2]
The following is a PBE calculation of a relaxed structure of Na2SmSn3Se6, from the Alexandria database.

## Properties
As for the formation energy from raw total energies: -0.90 eV/atom. For the total DFT energy (no corrections), the calculation gives -51.12 eV/cell.

a b c (Å): 7.304 7.304 7.449
angles (deg): 99.39 99.39 119.94
Sites, in units of the cell vectors:
Na (0.167, 0.833, 0.000)
Na (0.833, 0.167, 0.000)
Sm (0.500, 0.500, 0.000)
Sn (0.000, 0.000, 0.500)
Sn (0.336, 0.664, 0.500)
Sn (0.664, 0.336, 0.500)
Se (0.097, 0.415, 0.752)
Se (0.265, 0.265, 0.257)
Se (0.415, 0.097, 0.752)
Se (0.585, 0.903, 0.248)
Se (0.735, 0.735, 0.743)
Se (0.903, 0.585, 0.248)